1.
Crystalline K2SmVS4 at its relaxed geometry. Source: Alexandria via LeMat-Bulk, functional GGA-PBE.

Properties
The energy relative to the elements, uncorrected comes out at -1258 meV/atom.

Lattice parameters (Å, degrees): 7.1747 7.1747 9.5559 90.00 90.00 90.00
Positions (direct):
K (0.0000, 0.0000, 0.0000)
K (0.0000, 0.5000, 0.2500)
K (0.5000, 0.0000, 0.7500)
K (0.5000, 0.5000, 0.5000)
Sm (0.0000, 0.5000, 0.7500)
Sm (0.5000, 0.0000, 0.2500)
V (0.0000, 0.0000, 0.5000)
V (0.5000, 0.5000, 0.0000)
S (0.1730, 0.7737, 0.6131)
S (0.2263, 0.1730, 0.3869)
S (0.2737, 0.3270, 0.8869)
S (0.3270, 0.7263, 0.1131)
S (0.6730, 0.2737, 0.1131)
S (0.7263, 0.6730, 0.8869)
S (0.7737, 0.8270, 0.3869)
S (0.8270, 0.2263, 0.6131)

=====

2.
Crystalline TaCoPt at its relaxed geometry. Source: Alexandria via LeMat-Bulk, functional GGA-PBE.

Properties
The value obtained for the offset from the most stable computed form is 422 meV per atom.

Lattice parameters (Å, degrees): 5.9290 5.9290 5.9290 90.00 90.00 90.00
Positions (direct):
Ta (0.0000, 0.0000, 0.0000)
Ta (0.0000, 0.5000, 0.5000)
Ta (0.5000, 0.0000, 0.5000)
Ta (0.5000, 0.5000, 0.0000)
Co (0.2500, 0.2500, 0.2500)
Co (0.2500, 0.7500, 0.7500)
Co (0.7500, 0.2500, 0.7500)
Co (0.7500, 0.7500, 0.2500)
Pt (0.2500, 0.2500, 0.7500)
Pt (0.2500, 0.7500, 0.2500)
Pt (0.7500, 0.2500, 0.2500)
Pt (0.7500, 0.7500, 0.7500)

=====

3.
Crystalline AgHOs2O8 at its relaxed geometry. Source: Alexandria via LeMat-Bulk, functional GGA-PBE.

Lattice parameters (Å, degrees): 6.6288 6.6288 7.0665 119.93 119.93 46.43
Positions (direct):
Ag (0.0000, 0.0000, 0.0000)
H (0.5000, 0.5000, 0.5000)
Os (0.1900, 0.1900, 0.7166)
Os (0.8100, 0.8100, 0.2834)
O (0.1525, 0.1525, 0.9290)
O (0.1520, 0.6128, 0.4565)
O (0.3594, 0.3594, 0.8496)
O (0.3872, 0.8480, 0.5435)
O (0.6128, 0.1520, 0.4565)
O (0.6406, 0.6406, 0.1504)
O (0.8480, 0.3872, 0.5435)
O (0.8475, 0.8475, 0.0710)

=====

4.
Crystalline Tb3YTl2 at its relaxed geometry. Source: Alexandria via LeMat-Bulk, functional GGA-PBE.

Properties
The value obtained for the offset from the most stable computed form is 118 meV per atom.

Lattice parameters (Å, degrees): 8.6998 8.6998 9.3415 118.67 118.67 35.83
Positions (direct):
Tb (0.0577, 0.0577, 0.2151)
Tb (0.3069, 0.3069, 0.5053)
Tb (0.3832, 0.3832, 0.9550)
Tb (0.6168, 0.6168, 0.0450)
Tb (0.6931, 0.6931, 0.4947)
Tb (0.9423, 0.9423, 0.7849)
Y (0.1297, 0.1297, 0.6714)
Y (0.8703, 0.8703, 0.3286)
Tl (0.2246, 0.2246, 0.0934)
Tl (0.4786, 0.4786, 0.3270)
Tl (0.5214, 0.5214, 0.6730)
Tl (0.7754, 0.7754, 0.9066)

=====

5.
Crystalline Pr6Nd2Mg at its relaxed geometry. Source: Alexandria via LeMat-Bulk, functional GGA-PBE.

Lattice parameters (Å, degrees): 10.9476 10.9476 5.2098 90.00 90.00 90.00
Positions (direct):
Pr (0.9997, 0.3308, 0.0000)
Pr (0.0003, 0.6692, 0.0000)
Pr (0.1652, 0.1652, 0.5000)
Pr (0.1692, 0.4997, 0.5000)
Pr (0.3308, 0.9997, 0.0000)
Pr (0.3348, 0.6652, 0.0000)
Pr (0.4997, 0.1692, 0.5000)
Pr (0.5003, 0.8308, 0.5000)
Pr (0.6652, 0.3348, 0.0000)
Pr (0.6692, 0.0003, 0.0000)
Pr (0.8308, 0.5003, 0.5000)
Pr (0.8348, 0.8348, 0.5000)
Nd (0.1663, 0.8337, 0.5000)
Nd (0.3337, 0.3337, 0.0000)
Nd (0.6663, 0.6663, 0.0000)
Nd (0.8337, 0.1663, 0.5000)
Mg (0.0000, 0.0000, 0.0000)
Mg (0.5000, 0.5000, 0.5000)

=====

6.
Crystalline Pm6P3Se2Cl at its relaxed geometry. Source: Alexandria via LeMat-Bulk, functional GGA-PBE.

Properties
The energy relative to the elements, uncorrected comes out at -1741 meV/atom.

Lattice parameters (Å, degrees): 9.3678 9.3678 8.4087 104.62 104.62 25.42
Positions (direct):
Pm (0.0052, 0.0052, 0.2278)
Pm (0.3246, 0.3246, 0.4268)
Pm (0.3369, 0.3369, 0.9053)
Pm (0.6631, 0.6631, 0.0947)
Pm (0.6754, 0.6754, 0.5732)
Pm (0.9948, 0.9948, 0.7722)
P (0.1655, 0.1655, 0.3337)
P (0.5000, 0.5000, 0.0000)
P (0.8345, 0.8345, 0.6663)
Se (0.1642, 0.1642, 0.8285)
Se (0.8358, 0.8358, 0.1715)
Cl (0.5000, 0.5000, 0.5000)

=====

7.
Crystalline Tc2MoAs at its relaxed geometry. Source: Alexandria via LeMat-Bulk, functional GGA-PBE.

Lattice parameters (Å, degrees): 5.0866 8.1286 2.9452 90.00 90.00 90.00
Positions (direct):
Tc (0.2500, 0.2500, 0.0000)
Tc (0.2500, 0.7500, 0.0000)
Tc (0.7500, 0.2500, 0.0000)
Tc (0.7500, 0.7500, 0.0000)
Mo (0.0000, 0.0000, 0.5000)
Mo (0.5000, 0.5000, 0.5000)
As (0.0000, 0.5000, 0.5000)
As (0.5000, 0.0000, 0.5000)

=====

8.
Crystalline BaYS2Cl at its relaxed geometry. Source: Alexandria via LeMat-Bulk, functional GGA-PBE.

Properties
The energy relative to the elements, uncorrected comes out at -579 meV/atom. The value obtained for the offset from the most stable computed form is 1461 meV per atom.

Lattice parameters (Å, degrees): 5.7839 5.7839 5.4806 90.00 90.00 90.00
Positions (direct):
Ba (0.0000, 0.0000, 0.0000)
Y (0.5000, 0.5000, 0.5000)
S (0.0000, 0.5000, 0.0000)
S (0.5000, 0.0000, 0.0000)
Cl (0.0000, 0.0000, 0.5000)

=====

9.
Crystalline LiMn4Cl8 at its relaxed geometry. Source: Alexandria via LeMat-Bulk, functional GGA-PBE.

Properties
The energy relative to the elements, uncorrected comes out at -1052 meV/atom.

Lattice parameters (Å, degrees): 7.4914 7.4914 7.4914 58.59 58.59 58.59
Positions (direct):
Li (0.0000, 0.0000, 0.0000)
Mn (0.0000, 0.0000, 0.5000)
Mn (0.0000, 0.5000, 0.0000)
Mn (0.5000, 0.0000, 0.0000)
Mn (0.5000, 0.5000, 0.5000)
Cl (0.2412, 0.2412, 0.2412)
Cl (0.2428, 0.7473, 0.7473)
Cl (0.2527, 0.2527, 0.7572)
Cl (0.2527, 0.7572, 0.2527)
Cl (0.7473, 0.2428, 0.7473)
Cl (0.7473, 0.7473, 0.2428)
Cl (0.7572, 0.2527, 0.2527)
Cl (0.7588, 0.7588, 0.7588)

=====

10.
Crystalline CuPbBr2 at its relaxed geometry. Source: Alexandria via LeMat-Bulk, functional GGA-PBE.

Properties
The energy relative to the elements, uncorrected comes out at -209 meV/atom. The value obtained for the offset from the most stable computed form is 117 meV per atom.

Lattice parameters (Å, degrees): 4.0736 6.4762 9.0966 90.00 90.00 90.00
Positions (direct):
Cu (0.0000, 0.0000, 0.0000)
Cu (0.5000, 0.5000, 0.0000)
Pb (0.0000, 0.5000, 0.7626)
Pb (0.5000, 0.0000, 0.7626)
Br (0.0000, 0.0000, 0.5261)
Br (0.0000, 0.5000, 0.1300)
Br (0.5000, 0.0000, 0.1300)
Br (0.5000, 0.5000, 0.5261)

=====

11.
Crystalline CeY5Er5 at its relaxed geometry. Source: Alexandria via LeMat-Bulk, functional GGA-PBE.

Lattice parameters (Å, degrees): 6.0623 6.0623 11.5476 90.00 90.00 120.00
Positions (direct):
Ce (0.0000, 0.0000, 0.0000)
Y (0.0000, 0.0000, 0.3220)
Y (0.0000, 0.0000, 0.6780)
Y (0.3333, 0.6667, 0.1596)
Y (0.3333, 0.6667, 0.8404)
Y (0.6667, 0.3333, 0.0000)
Er (0.0015, 0.5007, 0.5000)
Er (0.4993, 0.5007, 0.5000)
Er (0.4993, 0.9985, 0.5000)
Er (0.6667, 0.3333, 0.2651)
Er (0.6667, 0.3333, 0.7349)

=====

12.
Crystalline LiMnSi2 at its relaxed geometry. Source: Alexandria via LeMat-Bulk, functional GGA-PBE.

Properties
The energy relative to the elements, uncorrected comes out at 168 meV/atom. The value obtained for the offset from the most stable computed form is 361 meV per atom.

Lattice parameters (Å, degrees): 2.5747 2.5747 8.2047 90.00 90.00 90.00
Positions (direct):
Li (0.0000, 0.0000, 0.0000)
Mn (0.5000, 0.5000, 0.2659)
Si (0.0000, 0.0000, 0.4654)
Si (0.5000, 0.5000, 0.7510)

=====

13.
Crystalline YHPdRh2 at its relaxed geometry. Source: Alexandria via LeMat-Bulk, functional GGA-PBE.

Properties
The value obtained for the offset from the most stable computed form is 45 meV per atom.

Lattice parameters (Å, degrees): 4.0050 4.0050 4.3914 90.00 90.00 90.00
Positions (direct):
Y (0.0000, 0.0000, 0.0000)
H (0.0000, 0.0000, 0.5000)
Pd (0.5000, 0.5000, 0.0000)
Rh (0.0000, 0.5000, 0.5000)
Rh (0.5000, 0.0000, 0.5000)

=====

14.
Crystalline SrAc6CoRh at its relaxed geometry. Source: Alexandria via LeMat-Bulk, functional GGA-PBE.

Lattice parameters (Å, degrees): 7.3234 7.3234 9.5443 90.00 90.00 120.00
Positions (direct):
Sr (0.0000, 0.0000, 0.0000)
Ac (0.3474, 0.0085, 0.6693)
Ac (0.3474, 0.3389, 0.3307)
Ac (0.6611, 0.0085, 0.3307)
Ac (0.6611, 0.6526, 0.6693)
Ac (0.9915, 0.3389, 0.6693)
Ac (0.9915, 0.6526, 0.3307)
Co (0.6667, 0.3333, 0.5000)
Rh (0.3333, 0.6667, 0.5000)

=====

15.
Crystalline Sr2Tl3In at its relaxed geometry. Source: Alexandria via LeMat-Bulk, functional GGA-PBE.

Properties
The value obtained for the offset from the most stable computed form is 37 meV per atom.

Lattice parameters (Å, degrees): 10.6496 9.9970 6.6331 76.69 66.00 37.31
Positions (direct):
Sr (0.2473, 0.7527, 0.7527)
Sr (0.2500, 0.2500, 0.2500)
Sr (0.7500, 0.7500, 0.7500)
Sr (0.7527, 0.2473, 0.2473)
Tl (0.1687, 0.1687, 0.8313)
Tl (0.1693, 0.6619, 0.3381)
Tl (0.3381, 0.8307, 0.1693)
Tl (0.6619, 0.1693, 0.8307)
Tl (0.8307, 0.3381, 0.6619)
Tl (0.8313, 0.8313, 0.1687)
In (0.3340, 0.3340, 0.6660)
In (0.6660, 0.6660, 0.3340)

=====

16.
Crystalline Sm2Al3Cu12Au at its relaxed geometry. Source: Alexandria via LeMat-Bulk, functional GGA-PBE.

Lattice parameters (Å, degrees): 10.3808 10.3808 10.3808 33.40 33.40 33.40
Positions (direct):
Sm (0.1427, 0.1427, 0.1427)
Sm (0.8573, 0.8573, 0.8573)
Al (0.0000, 0.5000, 0.5000)
Al (0.5000, 0.0000, 0.5000)
Al (0.5000, 0.5000, 0.0000)
Cu (0.0821, 0.6115, 0.6115)
Cu (0.0844, 0.0844, 0.6855)
Cu (0.0844, 0.6855, 0.0844)
Cu (0.3145, 0.9156, 0.9156)
Cu (0.3885, 0.3885, 0.9179)
Cu (0.3885, 0.9179, 0.3885)
Cu (0.6115, 0.0821, 0.6115)
Cu (0.6115, 0.6115, 0.0821)
Cu (0.6855, 0.0844, 0.0844)
Cu (0.9156, 0.3145, 0.9156)
Cu (0.9156, 0.9156, 0.3145)
Cu (0.9179, 0.3885, 0.3885)
Au (0.5000, 0.5000, 0.5000)

=====

17.
Crystalline PmSm3Dy6Y2 at its relaxed geometry. Source: Alexandria via LeMat-Bulk, functional GGA-PBE.

Lattice parameters (Å, degrees): 6.1968 6.1968 11.8498 94.98 94.98 119.97
Positions (direct):
Pm (0.0000, 0.0000, 0.0000)
Sm (0.1669, 0.8331, 0.5000)
Sm (0.5000, 0.5000, 0.5000)
Sm (0.8331, 0.1669, 0.5000)
Dy (0.0838, 0.4169, 0.2495)
Dy (0.2495, 0.2495, 0.7505)
Dy (0.4169, 0.0838, 0.2495)
Dy (0.5831, 0.9162, 0.7505)
Dy (0.7505, 0.7505, 0.2495)
Dy (0.9162, 0.5831, 0.7505)
Y (0.3333, 0.6667, 0.0000)
Y (0.6667, 0.3333, 0.0000)

=====

18.
Crystalline LiAg6Au5 at its relaxed geometry. Source: Alexandria via LeMat-Bulk, functional GGA-PBE.

Properties
The value obtained for the offset from the most stable computed form is 5 meV per atom.

Lattice parameters (Å, degrees): 7.6555 7.6555 4.1629 105.72 105.72 104.43
Positions (direct):
Li (0.0000, 0.0000, 0.0000)
Ag (0.0823, 0.4144, 0.2482)
Ag (0.2486, 0.2486, 0.7482)
Ag (0.4144, 0.0823, 0.2482)
Ag (0.5856, 0.9177, 0.7518)
Ag (0.7514, 0.7514, 0.2518)
Ag (0.9177, 0.5856, 0.7518)
Au (0.1608, 0.8392, 0.5000)
Au (0.3317, 0.6683, 0.0000)
Au (0.5000, 0.5000, 0.5000)
Au (0.6683, 0.3317, 0.0000)
Au (0.8392, 0.1608, 0.5000)

=====

19.
Crystalline Li5Tl2Hg2 at its relaxed geometry. Source: Alexandria via LeMat-Bulk, functional GGA-PBE.

Properties
The value obtained for the offset from the most stable computed form is 0 meV per atom.

Lattice parameters (Å, degrees): 7.4710 7.4710 5.8238 107.43 107.43 37.19
Positions (direct):
Li (0.0000, 0.0000, 0.0000)
Li (0.1657, 0.1657, 0.7441)
Li (0.4141, 0.4141, 0.6119)
Li (0.5859, 0.5859, 0.3881)
Li (0.8343, 0.8343, 0.2559)
Tl (0.2073, 0.2073, 0.2836)
Tl (0.7927, 0.7927, 0.7164)
Hg (0.3929, 0.3929, 0.0898)
Hg (0.6071, 0.6071, 0.9102)

=====

20.
Crystalline RbSr3Zn at its relaxed geometry. Source: Alexandria via LeMat-Bulk, functional GGA-PBE.

Properties
The value obtained for the offset from the most stable computed form is 912 meV per atom.

Lattice parameters (Å, degrees): 7.6991 7.6991 7.6991 90.00 90.00 90.00
Positions (direct):
Rb (0.0000, 0.0000, 0.0000)
Sr (0.0000, 0.0000, 0.5000)
Sr (0.0000, 0.5000, 0.0000)
Sr (0.5000, 0.0000, 0.0000)
Zn (0.5000, 0.5000, 0.5000)

=====

21.
Crystalline ZrCuB2 at its relaxed geometry. Source: Alexandria via LeMat-Bulk, functional GGA-PBE.

Properties
The value obtained for the offset from the most stable computed form is 326 meV per atom.

Lattice parameters (Å, degrees): 5.6887 5.6887 5.6887 90.00 90.00 90.00
Positions (direct):
Zr (0.0000, 0.0000, 0.0000)
Zr (0.0000, 0.5000, 0.5000)
Zr (0.5000, 0.0000, 0.5000)
Zr (0.5000, 0.5000, 0.0000)
Cu (0.0000, 0.0000, 0.5000)
Cu (0.0000, 0.5000, 0.0000)
Cu (0.5000, 0.0000, 0.0000)
Cu (0.5000, 0.5000, 0.5000)
B (0.2500, 0.2500, 0.2500)
B (0.2500, 0.2500, 0.7500)
B (0.2500, 0.7500, 0.2500)
B (0.2500, 0.7500, 0.7500)
B (0.7500, 0.2500, 0.2500)
B (0.7500, 0.2500, 0.7500)
B (0.7500, 0.7500, 0.2500)
B (0.7500, 0.7500, 0.7500)

=====

22.
Crystalline Pu3Ni2Ge7 at its relaxed geometry. Source: Alexandria via LeMat-Bulk, functional GGA-PBE.

Lattice parameters (Å, degrees): 4.1964 4.2153 12.8090 90.00 99.42 90.00
Positions (direct):
Pu (0.0000, 0.0000, 0.0000)
Pu (0.3153, 0.5000, 0.6302)
Pu (0.6847, 0.5000, 0.3698)
Ni (0.1286, 0.0000, 0.2577)
Ni (0.8714, 0.0000, 0.7423)
Ge (0.0880, 0.5000, 0.1752)
Ge (0.2207, 0.0000, 0.4420)
Ge (0.4127, 0.0000, 0.8250)
Ge (0.5000, 0.5000, 0.0000)
Ge (0.5873, 0.0000, 0.1750)
Ge (0.7793, 0.0000, 0.5580)
Ge (0.9120, 0.5000, 0.8248)

=====

23.
Crystalline LaBe2Se at its relaxed geometry. Source: Alexandria via LeMat-Bulk, functional GGA-PBE.

Properties
The energy relative to the elements, uncorrected comes out at -188 meV/atom.

Lattice parameters (Å, degrees): 3.6179 3.7687 5.8669 90.00 90.00 90.00
Positions (direct):
La (0.0000, 0.0000, 0.0000)
Be (0.5000, 0.0000, 0.4590)
Be (0.5000, 0.5000, 0.2946)
Se (0.5000, 0.5000, 0.6885)

=====

| no. | uncorrected energy (eV per atom) | density (g cm⁻³) |
| --- | --- | --- |
| 1 | -5.326 | 2.753 |
| 2 | -8.325 | 13.862 |
| 3 | -6.234 | 5.426 |
| 4 | -4.343 | 9.055 |
| 5 | -4.410 | 6.160 |
| 6 | -6.204 | 6.275 |
| 7 | -8.848 | 10.005 |
| 8 | -4.277 | 2.951 |
| 9 | -5.157 | 2.945 |
| 10 | -2.997 | 5.958 |
| 11 | -5.223 | 6.420 |
| 12 | -5.315 | 3.604 |
| 13 | -6.427 | 9.480 |
| 14 | -4.542 | 6.036 |
| 15 | -2.510 | 7.783 |
| 16 | -3.999 | 7.379 |
| 17 | -4.938 | 7.481 |
| 18 | -3.055 | 12.842 |
| 19 | -1.902 | 7.524 |
| 20 | -0.527 | 1.505 |
| 21 | -6.114 | 6.364 |
| 22 | -7.698 | 10.088 |
| 23 | -4.155 | 4.897 |